# 1
Here is a relaxed Tl4TeCl crystal from Alexandria. Energies are from PBE-GGA.

```
Tl4TeCl
1.0
0.000 4.606 4.606
4.606 0.000 4.606
4.606 4.606 0.000
Tl Te Cl
4 1 1
Direct
0.376 0.376 0.376
0.376 0.376 0.873
0.376 0.873 0.376
0.873 0.376 0.376
0.750 0.750 0.750
0.000 0.000 0.000
```

Properties
- Space group: No. 216
- Total magnetization: 0.00 μB/atom
- Formation energy without anion corrections: -0.175 eV/atom

---

# 2
Here is a relaxed Sr2SbS crystal from Alexandria. Energies are from PBE-GGA.

```
Sr2SbS
1.0
-4.070 4.070 4.434
4.070 -4.070 4.434
4.070 4.070 -4.434
Sr Sb S
4 2 2
Direct
0.081 0.125 0.456
0.375 0.919 0.044
0.669 0.625 0.544
0.875 0.331 0.956
0.250 0.750 0.500
0.500 0.500 0.000
0.000 0.000 0.000
0.750 0.250 0.500
```

Properties
- Space group: No. 122
- Total magnetization: 0.25 μB/atom
- Formation energy without anion corrections: -1.168 eV/atom

---

Copy entry 1 word for word.
Here is a relaxed Tl4TeCl crystal from Alexandria. Energies are from PBE-GGA.

```
Tl4TeCl
1.0
0.000 4.606 4.606
4.606 0.000 4.606
4.606 4.606 0.000
Tl Te Cl
4 1 1
Direct
0.376 0.376 0.376
0.376 0.376 0.873
0.376 0.873 0.376
0.873 0.376 0.376
0.750 0.750 0.750
0.000 0.000 0.000
```

Properties
- Space group: No. 216
- Total magnetization: 0.00 μB/atom
- Formation energy without anion corrections: -0.175 eV/atom

---

Q: The lowest formation energy without anion corrections belongs to which entry?
A: Sr2SbS

---

Q: Number 2 is which compound?
A: Sr2SbS

---

Q: What is the total magnetization in the first record?
A: 0.00 μB/atom